# Ce3Sm5Se8, relaxed, DFT PBE-GGA
data_Ce3Sm5Se8
_chemical_formula_sum 'Ce3 Sm5 Se8'
_cell_length_a 8.358
_cell_length_b 8.358
_cell_length_c 8.378
_cell_angle_alpha 60.08
_cell_angle_beta 60.08
_cell_angle_gamma 60.00
_symmetry_space_group_name_H-M 'P 1'
_symmetry_Int_Tables_number 1
loop_
_symmetry_equiv_pos_as_xyz
'x,y,z'
loop_
_atom_site_label
_atom_site_type_symbol
_atom_site_fract_x
_atom_site_fract_y
_atom_site_fract_z
Se1 Se 0.251 0.251 0.247
Se2 Se 0.750 0.251 0.248
Se3 Se 0.251 0.750 0.248
Se4 Se 0.750 0.750 0.248
Se5 Se 0.250 0.749 0.752
Se6 Se 0.749 0.749 0.753
Se7 Se 0.749 0.250 0.752
Se8 Se 0.250 0.250 0.752
Sm1 Sm 0.500 0.000 0.000
Sm2 Sm 0.500 0.500 0.000
Sm3 Sm 0.500 0.500 0.500
Sm4 Sm 0.000 0.000 0.000
Sm5 Sm 0.000 0.500 0.000
Ce1 Ce 0.000 0.000 0.500
Ce2 Ce 0.000 0.500 0.500
Ce3 Ce 0.500 0.000 0.500
# Density of states at the Fermi level = 21.8 states/eV per cell
# Formation energy (no corrections) = -1.825 eV/atom
# Symmetry = R-3m, No. 166
# DFT total energy = -98.48 eV/f.u.
# Volume = 25.89 Å³/atom